Entry 1:
PBE LiMnSi2, optimized geometry; SG = P4mm (99); distance to the lowest polymorph of the same formula = 38 kJ/mol of formula units; uncorrected formation energy = -0.094 eV per atom
1.0
3.145 0.000 0.000
0.000 3.145 0.000
0.000 0.000 4.866
Li Mn Si
1 1 2
direct
0.000 0.000 0.000
0.500 0.500 0.277
0.000 0.000 0.478
0.500 0.500 0.765


Entry 2:
PBE Pa4Ti, optimized geometry; SG = Pm-3m (221); distance to the lowest polymorph of the same formula = 272 kJ/mol of formula units
1.0
5.134 0.000 0.000
0.000 5.134 0.000
0.000 0.000 5.134
Pa Ti
4 1
direct
0.000 0.000 0.000
0.000 0.500 0.500
0.500 0.000 0.500
0.500 0.500 0.000
0.500 0.500 0.500


Entry 3:
PBE Pm2Zn2Cd3, optimized geometry; SG = C2/m (12); distance to the lowest polymorph of the same formula = 0 kJ/mol of formula units
1.0
5.303 -2.232 0.000
5.303 2.232 0.000
-3.004 0.000 6.869
Pm Zn Cd
2 2 3
direct
0.141 0.141 0.279
0.859 0.859 0.721
0.153 0.153 0.698
0.847 0.847 0.302
0.378 0.378 0.063
0.500 0.500 0.500
0.622 0.622 0.937


Entry 4:
PBE KTiTlSe3, optimized geometry; SG = C2/c (15); uncorrected formation energy = -0.970 eV per atom
1.0
3.843 -7.646 0.000
3.843 7.646 0.000
-1.627 0.000 6.577
K Ti Tl Se
2 2 2 6
direct
0.230 0.770 0.750
0.770 0.230 0.250
0.047 0.953 0.250
0.953 0.047 0.750
0.411 0.589 0.250
0.589 0.411 0.750
0.172 0.256 0.503
0.204 0.796 0.250
0.256 0.172 0.003
0.744 0.828 0.997
0.796 0.204 0.750
0.828 0.744 0.497


Entry 5:
PBE PaMnZnIr, optimized geometry; SG = F-43m (216); final energy = -29.65 eV/cell
1.0
0.000 3.269 3.269
3.269 0.000 3.269
3.269 3.269 0.000
Pa Mn Zn Ir
1 1 1 1
direct
0.000 0.000 0.000
0.750 0.750 0.750
0.500 0.500 0.500
0.250 0.250 0.250


Entry 6:
PBE InGaIBr2, optimized geometry; SG = P4/mmm (123); uncorrected formation energy = -0.510 eV per atom
1.0
5.361 0.000 0.000
0.000 5.361 0.000
0.000 0.000 5.908
In Ga I Br
1 1 1 2
direct
0.000 0.000 0.000
0.500 0.500 0.500
0.500 0.500 0.000
0.000 0.500 0.500
0.500 0.000 0.500


Entry 7:
PBE LiReSb, optimized geometry; SG = P3m1 (156); distance to the lowest polymorph of the same formula = 73 kJ/mol of formula units; uncorrected formation energy = 0.500 eV per atom
1.0
3.092 0.000 0.000
-1.546 2.678 0.000
0.000 0.000 6.661
Li Re Sb
1 1 1
direct
0.000 0.000 0.000
0.667 0.333 0.325
0.333 0.667 0.632


Entry 8:
PBE FeSiTeI2, optimized geometry; SG = P4/mmm (123); distance to the lowest polymorph of the same formula = 0 kJ/mol of formula units; uncorrected formation energy = 0.765 eV per atom
1.0
5.273 0.000 0.000
0.000 5.273 0.000
0.000 0.000 4.916
Fe Si Te I
1 1 1 2
direct
0.000 0.000 0.000
0.500 0.500 0.500
0.000 0.000 0.500
0.000 0.500 0.000
0.500 0.000 0.000


| no. | M_tot (μB per cell) |
| --- | --- |
| 1 | 0.00 |
| 2 | 0.00 |
| 3 | 0.00 |
| 4 | 0.00 |
| 5 | 2.66 |
| 6 | 0.00 |
| 7 | 0.25 |
| 8 | 0.00 |